Record 1
DFT (GGA+U) results for a relaxed SrMg6VO8 crystal.

a b c (Å): 4.483 4.483 8.861
angles (deg): 90.00 90.00 90.00
Each line ends with the local moment (μB).
Sites, in units of the cell vectors:
Sr 0.000 0.000 0.500  0.00
Mg 0.500 0.500 0.000  0.00
Mg 0.500 0.500 0.500  0.00
Mg 0.000 0.500 0.240  0.00
Mg 0.000 0.500 0.760  0.00
Mg 0.500 0.000 0.240  0.00
Mg 0.500 0.000 0.760  0.00
V 0.000 0.000 0.000  2.68
O 0.000 0.000 0.234  0.01
O 0.000 0.000 0.766  0.01
O 0.500 0.500 0.247  0.00
O 0.500 0.500 0.753  0.00
O 0.000 0.500 0.000  0.01
O 0.000 0.500 0.500  0.00
O 0.500 0.000 0.000  0.01
O 0.500 0.000 0.500  0.00

Values from the calculation:
D(E_F)   0.2 states/eV/cell

=====

Record 2
DFT (GGA+U) results for a relaxed CsPmMn2O8 crystal.

a b c (Å): 5.870 5.870 8.537
angles (deg): 90.00 90.00 120.00
Each line ends with the local moment (μB).
Sites, in units of the cell vectors:
Cs 0.000 0.000 0.000  0.00
Pm 0.000 0.000 0.500  0.03
Mn 0.667 0.333 0.264  1.28
Mn 0.333 0.667 0.736  1.28
O 0.333 0.667 0.927  -0.10
O 0.356 0.185 0.330  -0.07
O 0.815 0.172 0.330  -0.07
O 0.667 0.333 0.073  -0.10
O 0.185 0.828 0.670  -0.07
O 0.644 0.815 0.670  -0.07
O 0.172 0.356 0.670  -0.07
O 0.828 0.644 0.330  -0.07

Values from the calculation:
D(E_F)   8.4 states/eV/cell

=====

Record order is preserved below.
Final energy: -6.035 -6.468 eV/atom